Record 1
First-principles (SCAN) data for Y2ZrP at its PBEsol-relaxed geometry, as listed in Alexandria.

Values from the calculation:
- E_tot (eV/atom) = -24.95
- spin magnetization (Bohr magnetons per cell) = 0.60
- formation energy (eV/atom) = -0.75
- space group = R3m

The structure in POSCAR format:
```
Y2ZrP
1.0
-1.4361 -3.0438 1.3351
-0.9655 -2.6789 -2.2363
7.3623 -5.4456 0.4136
P Y Zr
1 2 1
Direct
0.2446 0.2446 0.2661
0.9745 0.9745 0.0766
0.7580 0.7580 0.7260
0.5229 0.5229 0.4312
```

Record 2
First-principles (SCAN) data for BaY2Sb at its PBEsol-relaxed geometry, as listed in Alexandria.

Values from the calculation:
- E_tot (eV/atom) = -33.25
- formation energy (no corrections) (eV per atom) = -0.13
- spin magnetization (Bohr magnetons per cell) = 2.63
- space group = F-43m

The structure in POSCAR format:
```
BaY2Sb
1.0
-1.4006 -3.7770 3.8758
2.7677 -0.1828 4.8534
-2.5165 1.6358 4.7160
Ba Sb Y
1 1 2
Direct
0.5000 0.5000 0.5000
0.2500 0.2500 0.2500
0.0000 0.0000 0.0000
0.7500 0.7500 0.7500
```

Record 3
First-principles (SCAN) data for CuSb2AuI at its PBEsol-relaxed geometry, as listed in Alexandria.

Values from the calculation:
- E_tot (eV/atom) = -38.16
- formation energy (no corrections) (eV per atom) = 0.96
- spin magnetization (Bohr magnetons per cell) = 1.29
- space group = P4/mmm

The structure in POSCAR format:
```
CuSb2AuI
1.0
5.3047 0.0000 0.0000
0.0000 5.3047 0.0000
0.0000 0.0000 5.5231
I Sb Au Cu
1 2 1 1
Direct
0.0000 0.0000 0.5000
0.0000 0.5000 0.0000
0.5000 0.0000 0.0000
0.0000 0.0000 0.0000
0.5000 0.5000 0.5000
```

Record 4
First-principles (SCAN) data for AlHg2As at its PBEsol-relaxed geometry, as listed in Alexandria.

Values from the calculation:
- E_tot (eV/atom) = -40.76
- spin magnetization (Bohr magnetons per cell) = 0.00
- distance to the lowest polymorph of the same formula (eV per atom) = 0.1174
- formation energy (eV/atom) = 0.31
- space group = Pmmm

The structure in POSCAR format:
```
AlHg2As
1.0
2.8894 0.0000 0.0000
0.0000 4.7393 0.0000
0.0000 0.0000 5.9677
As Hg Al
1 2 1
Direct
0.5000 0.5000 0.5000
0.0000 0.0000 0.7543
0.0000 0.0000 0.2457
0.5000 0.5000 0.0000
```

Record 5
First-principles (SCAN) data for Ta3CoO at its PBEsol-relaxed geometry, as listed in Alexandria.

Values from the calculation:
- E_tot (eV/atom) = -45.02
- formation energy (no corrections) (eV per atom) = -0.36
- spin magnetization (Bohr magnetons per cell) = 0.02
- space group = Pm-3m

The structure in POSCAR format:
```
Ta3CoO
1.0
4.1263 0.0000 0.0000
0.0000 4.1263 0.0000
0.0000 0.0000 4.1263
Co O Ta
1 1 3
Direct
0.5000 0.5000 0.5000
0.0000 0.0000 0.0000
0.0000 0.5000 0.0000
0.0000 0.0000 0.5000
0.5000 0.0000 0.0000
```

Record 6
First-principles (SCAN) data for RbTi3Cu at its PBEsol-relaxed geometry, as listed in Alexandria.

Values from the calculation:
- E_tot (eV/atom) = -15.74
- spin magnetization (Bohr magnetons per cell) = 0.00
- formation energy (eV/atom) = 1.07
- space group = Pm-3m

The structure in POSCAR format:
```
RbTi3Cu
1.0
-0.6119 -1.6841 4.4497
-1.3916 -4.2268 -1.7911
4.5496 -1.5193 0.0506
Cu Rb Ti
1 1 3
Direct
0.0000 0.0000 0.0000
0.5000 0.5000 0.5000
0.0000 0.5000 0.0000
0.0000 0.0000 0.5000
0.5000 0.0000 0.0000
```